# 1
{"formula": "Sm3Y4Er", "functional": "PBE", "state": "optimized geometry", "cell": [[11.399, 0.000, 0.000], [0.000, 7.326, 0.000], [0.000, 0.000, 6.331]], "species": ["Sm", "Sm", "Sm", "Sm", "Sm", "Sm", "Y", "Y", "Y", "Y", "Y", "Y", "Y", "Y", "Er", "Er"], "frac_coords": [[0.000, 0.125, 0.000], [0.250, 0.124, 0.330], [0.250, 0.876, 0.830], [0.500, 0.875, 0.500], [0.750, 0.124, 0.330], [0.750, 0.876, 0.830], [0.000, 0.374, 0.498], [0.000, 0.624, 0.996], [0.248, 0.625, 0.333], [0.252, 0.375, 0.833], [0.500, 0.376, 0.496], [0.500, 0.626, 0.998], [0.748, 0.375, 0.833], [0.752, 0.625, 0.333], [0.000, 0.873, 0.499], [0.500, 0.127, 0.999]], "e_tot_ev_per_atom": -5.56, "de_polymorph_kj_per_mol_atoms": 0.0, "formation_enthalpy_0k_mev_per_atom": 11, "sg": "Pmn2_1", "dos_ef_per_ev_cell": 28.78, "rho_g_cm3": 6.1}

---

# 2
{"formula": "CeNF", "functional": "PBE", "state": "optimized geometry", "cell": [[3.938, 0.000, 0.000], [0.000, 3.938, 0.000], [0.000, 0.000, 5.746]], "species": ["Ce", "Ce", "N", "N", "F", "F"], "frac_coords": [[0.250, 0.250, 0.206], [0.750, 0.750, 0.794], [0.250, 0.750, 0.000], [0.750, 0.250, 0.000], [0.250, 0.750, 0.500], [0.750, 0.250, 0.500]], "e_tot_ev_per_atom": -7.98, "sg": "P4/nmm", "formation_energy_uncorrected_ev_per_atom": -2.600, "rho_g_cm3": 6.5}

---

# 3
{"formula": "K3InRe2O8", "functional": "PBE", "state": "optimized geometry", "cell": [[6.237, 0.000, 0.000], [-3.119, 5.402, 0.000], [0.000, 0.000, 8.331]], "species": ["K", "K", "K", "In", "Re", "Re", "O", "O", "O", "O", "O", "O", "O", "O"], "frac_coords": [[0.000, 0.000, 0.000], [0.333, 0.667, 0.669], [0.667, 0.333, 0.331], [0.000, 0.000, 0.500], [0.333, 0.667, 0.190], [0.667, 0.333, 0.810], [0.178, 0.356, 0.272], [0.178, 0.822, 0.272], [0.333, 0.667, 0.977], [0.356, 0.178, 0.728], [0.644, 0.822, 0.272], [0.667, 0.333, 0.023], [0.822, 0.178, 0.728], [0.822, 0.644, 0.728]], "e_tot_ev_per_atom": -6.60, "sg": "P-3m1", "formation_energy_uncorrected_ev_per_atom": -1.557, "dos_ef_per_ev_cell": 7.80, "rho_g_cm3": 4.3}

---

# 4
{"formula": "La3Pr3Pd2", "functional": "PBE", "state": "optimized geometry", "cell": [[2.017, -6.406, 0.000], [2.017, 6.406, 0.000], [0.000, 0.000, 19.239]], "species": ["La", "La", "La", "La", "La", "La", "Pr", "Pr", "Pr", "Pr", "Pr", "Pr", "Pd", "Pd", "Pd", "Pd"], "frac_coords": [[0.141, 0.859, 0.536], [0.141, 0.859, 0.964], [0.151, 0.849, 0.250], [0.849, 0.151, 0.750], [0.859, 0.141, 0.036], [0.859, 0.141, 0.464], [0.120, 0.880, 0.750], [0.434, 0.566, 0.618], [0.434, 0.566, 0.882], [0.566, 0.434, 0.118], [0.566, 0.434, 0.382], [0.880, 0.120, 0.250], [0.286, 0.714, 0.131], [0.286, 0.714, 0.369], [0.714, 0.286, 0.631], [0.714, 0.286, 0.869]], "e_tot_ev_per_atom": -5.27, "formation_enthalpy_0k_mev_per_atom": -327, "sg": "Cmcm", "dos_ef_per_ev_cell": 18.71, "rho_g_cm3": 7.0}

---

# 5
{"formula": "Pr5InIr2", "functional": "PBE", "state": "optimized geometry", "cell": [[-4.038, 4.038, 7.104], [4.038, -4.038, 7.104], [4.038, 4.038, -7.104]], "species": ["Pr", "Pr", "Pr", "Pr", "Pr", "Pr", "Pr", "Pr", "Pr", "Pr", "In", "In", "Ir", "Ir", "Ir", "Ir"], "frac_coords": [[0.000, 0.000, 0.000], [0.031, 0.531, 0.826], [0.205, 0.031, 0.500], [0.295, 0.795, 0.826], [0.469, 0.295, 0.500], [0.500, 0.500, 0.000], [0.531, 0.705, 0.500], [0.705, 0.205, 0.174], [0.795, 0.969, 0.500], [0.969, 0.469, 0.174], [0.250, 0.250, 0.000], [0.750, 0.750, 0.000], [0.136, 0.364, 0.500], [0.364, 0.864, 0.227], [0.636, 0.136, 0.773], [0.864, 0.636, 0.500]], "e_tot_ev_per_atom": -6.07, "formation_enthalpy_0k_mev_per_atom": -524, "sg": "I4/mcm", "dos_ef_per_ev_cell": 18.36, "rho_g_cm3": 8.6}

---

# 6
{"formula": "AsOs3", "functional": "PBE", "state": "optimized geometry", "cell": [[5.280, 0.000, 0.000], [0.000, 8.295, 0.000], [0.000, 0.000, 5.380]], "species": ["As", "As", "As", "As", "Os", "Os", "Os", "Os", "Os", "Os", "Os", "Os", "Os", "Os", "Os", "Os"], "frac_coords": [[0.015, 0.250, 0.040], [0.485, 0.750, 0.540], [0.515, 0.250, 0.460], [0.985, 0.750, 0.960], [0.015, 0.750, 0.504], [0.185, 0.523, 0.180], [0.185, 0.977, 0.180], [0.315, 0.023, 0.680], [0.315, 0.477, 0.680], [0.485, 0.250, 0.004], [0.515, 0.750, 0.996], [0.685, 0.523, 0.320], [0.685, 0.977, 0.320], [0.815, 0.023, 0.820], [0.815, 0.477, 0.820], [0.985, 0.250, 0.496]], "e_tot_ev_per_atom": -9.15, "de_polymorph_kj_per_mol_atoms": 17.3, "formation_enthalpy_0k_mev_per_atom": 431, "sg": "Pnma", "dos_ef_per_ev_cell": 11.51, "rho_g_cm3": 18.2}

---

# 7
{"formula": "OsBr2Cl", "functional": "PBE", "state": "optimized geometry", "cell": [[1.879, 1.085, 7.352], [-1.879, 1.085, 7.352], [0.000, -2.170, 7.352]], "species": ["Os", "Br", "Br", "Cl"], "frac_coords": [[0.000, 0.000, 0.000], [0.273, 0.273, 0.273], [0.727, 0.727, 0.727], [0.500, 0.500, 0.500]], "e_tot_ev_per_atom": -3.74, "de_polymorph_kj_per_mol_atoms": 34.4, "sg": "R-3m", "formation_energy_uncorrected_ev_per_atom": 0.362, "dos_ef_per_ev_cell": 5.22, "rho_g_cm3": 7.1}

---

# 8
{"formula": "BaPa2SeO8", "functional": "PBE", "state": "optimized geometry", "cell": [[3.563, -3.808, 0.000], [3.563, 3.808, 0.000], [0.000, 0.000, 7.195]], "species": ["Ba", "Pa", "Pa", "Se", "O", "O", "O", "O", "O", "O", "O", "O"], "frac_coords": [[0.000, 0.000, 0.000], [0.500, 0.500, 0.258], [0.500, 0.500, 0.742], [0.000, 0.000, 0.500], [0.202, 0.202, 0.303], [0.202, 0.202, 0.697], [0.313, 0.687, 0.500], [0.338, 0.662, 0.000], [0.662, 0.338, 0.000], [0.687, 0.313, 0.500], [0.798, 0.798, 0.303], [0.798, 0.798, 0.697]], "e_tot_ev_per_atom": -7.92, "sg": "Cmmm", "formation_energy_uncorrected_ev_per_atom": -2.579, "rho_g_cm3": 6.9}

---

Number 3 is which compound?
K3InRe2O8

---

Number 5 is which compound?
Pr5InIr2